Entry 1:
# PBE HoEr2Al, optimized geometry
# VASP energy (eV per atom): -4.557
# Distance to the lowest polymorph of the same formula (meV per atom): 6
data_HoEr2Al
_chemical_formula_sum 'Ho1 Er2 Al1'
_symmetry_space_group_name_H-M 'P 4/m m m'
_symmetry_Int_Tables_number 123
_symmetry_space_group_name_Hall '-P 4 2'
_cell_length_a 4.720
_cell_length_b 4.720
_cell_length_c 4.726
_cell_angle_alpha 90.00
_cell_angle_beta 90.00
_cell_angle_gamma 90.00
loop_
_atom_site_label
_atom_site_type_symbol
_atom_site_fract_x
_atom_site_fract_y
_atom_site_fract_z
Ho1 Ho 0.000 0.000 0.000
Er1 Er 0.000 0.500 0.500
Al1 Al 0.500 0.500 0.000

=====

Entry 2:
# PBE Ho4ErAl4, optimized geometry
# VASP energy (eV per atom): -4.364
data_Ho4ErAl4
_chemical_formula_sum 'Ho8 Er2 Al8'
_symmetry_space_group_name_H-M 'P 42/n'
_symmetry_Int_Tables_number 86
_cell_length_a 8.800
_cell_length_b 8.800
_cell_length_c 5.738
_cell_angle_alpha 90.00
_cell_angle_beta 90.00
_cell_angle_gamma 90.00
loop_
_symmetry_equiv_pos_as_xyz
'x,y,z'
'-x,-y,-z'
'-y,x+1/2,z+1/2'
'y,-x+1/2,-z+1/2'
'-x+1/2,-y+1/2,z'
'x+1/2,y+1/2,-z'
'y+1/2,-x,z+1/2'
'-y+1/2,x,-z+1/2'
loop_
_atom_site_label
_atom_site_type_symbol
_atom_site_fract_x
_atom_site_fract_y
_atom_site_fract_z
Ho1 Ho 0.085 0.824 0.135
Er1 Er 0.250 0.250 0.750
Al1 Al 0.055 0.154 0.349

=====

Entry 3:
# PBE HoEr4Al3, optimized geometry
# VASP energy (eV per atom): -4.390
data_HoEr4Al3
_chemical_formula_sum 'Ho2 Er8 Al6'
_symmetry_space_group_name_H-M 'I m m m'
_symmetry_Int_Tables_number 71
_symmetry_space_group_name_Hall '-I 2 2'
_cell_length_a 3.333
_cell_length_b 8.515
_cell_length_c 14.672
_cell_angle_alpha 90.00
_cell_angle_beta 90.00
_cell_angle_gamma 90.00
loop_
_atom_site_label
_atom_site_type_symbol
_atom_site_fract_x
_atom_site_fract_y
_atom_site_fract_z
Ho1 Ho 0.000 0.000 0.000
Er1 Er 0.000 0.303 0.141
Al1 Al 0.000 0.000 0.500
Al2 Al 0.000 0.500 0.317

=====

Entry 4:
# PBE Ho2Er6Al, optimized geometry
# VASP energy (eV per atom): -4.500
data_Ho2Er6Al
_chemical_formula_sum 'Ho4 Er12 Al2'
_symmetry_space_group_name_H-M 'P 1 21/c 1'
_symmetry_Int_Tables_number 14
_symmetry_space_group_name_Hall '-P 2ybc'
_cell_length_a 9.289
_cell_length_b 3.500
_cell_length_c 16.741
_cell_angle_alpha 90.00
_cell_angle_beta 103.82
_cell_angle_gamma 90.00
loop_
_atom_site_label
_atom_site_type_symbol
_atom_site_fract_x
_atom_site_fract_y
_atom_site_fract_z
Ho1 Ho 0.109 0.242 0.341
Er1 Er 0.206 0.195 0.153
Er2 Er 0.336 0.739 0.009
Er3 Er 0.425 0.730 0.321
Al1 Al 0.000 0.000 0.500

=====

Entry 5:
# PBE HoEr2Al2, optimized geometry
# VASP energy (eV per atom): -4.556
# Distance to the lowest polymorph of the same formula (meV per atom): 0
data_HoEr2Al2
_chemical_formula_sum 'Ho2 Er4 Al4'
_symmetry_space_group_name_H-M 'P 1 21/m 1'
_symmetry_Int_Tables_number 11
_symmetry_space_group_name_Hall '-P 2yb'
_cell_length_a 3.605
_cell_length_b 5.107
_cell_length_c 13.390
_cell_angle_alpha 90.00
_cell_angle_beta 97.75
_cell_angle_gamma 90.00
loop_
_atom_site_label
_atom_site_type_symbol
_atom_site_fract_x
_atom_site_fract_y
_atom_site_fract_z
Ho1 Ho 0.145 0.250 0.292
Er1 Er 0.047 0.750 0.094
Er2 Er 0.234 0.750 0.468
Al1 Al 0.360 0.250 0.719
Al2 Al 0.450 0.750 0.901

=====

Entry 6:
# PBE HoEr3Al4, optimized geometry
# VASP energy (eV per atom): -4.550
data_HoEr3Al4
_chemical_formula_sum 'Ho2 Er6 Al8'
_symmetry_space_group_name_H-M 'P m m a'
_symmetry_Int_Tables_number 51
_symmetry_space_group_name_Hall '-P 2a 2a'
_cell_length_a 10.107
_cell_length_b 7.128
_cell_length_c 5.053
_cell_angle_alpha 90.00
_cell_angle_beta 90.00
_cell_angle_gamma 90.00
loop_
_atom_site_label
_atom_site_type_symbol
_atom_site_fract_x
_atom_site_fract_y
_atom_site_fract_z
Ho1 Ho 0.000 0.000 0.000
Er1 Er 0.000 0.500 0.000
Er2 Er 0.250 0.000 0.499
Er3 Er 0.250 0.500 0.499
Al1 Al 0.000 0.251 0.500
Al2 Al 0.250 0.251 0.999

=====

Entry 7:
# PBE Ho2Er3Al3, optimized geometry
# VASP energy (eV per atom): -4.558
# Distance to the lowest polymorph of the same formula (meV per atom): 0
data_Ho2Er3Al3
_chemical_formula_sum 'Ho4 Er6 Al6'
_symmetry_space_group_name_H-M 'I m m m'
_symmetry_Int_Tables_number 71
_symmetry_space_group_name_Hall '-I 2 2'
_cell_length_a 3.638
_cell_length_b 5.110
_cell_length_c 21.395
_cell_angle_alpha 90.00
_cell_angle_beta 90.00
_cell_angle_gamma 90.00
loop_
_atom_site_label
_atom_site_type_symbol
_atom_site_fract_x
_atom_site_fract_y
_atom_site_fract_z
Ho1 Ho 0.000 0.000 0.231
Er1 Er 0.000 0.000 0.000
Er2 Er 0.000 0.500 0.120
Al1 Al 0.000 0.000 0.500
Al2 Al 0.000 0.500 0.384

=====

Entry 8:
# PBE Ho2ErAl, optimized geometry
# VASP energy (eV per atom): -4.441
# Distance to the lowest polymorph of the same formula (meV per atom): 125
data_Ho2ErAl
_chemical_formula_sum 'Ho6 Er3 Al3'
_symmetry_space_group_name_H-M 'R 3 m'
_symmetry_Int_Tables_number 160
_symmetry_space_group_name_Hall 'R 3 -2"'
_cell_length_a 3.5542
_cell_length_b 3.5542
_cell_length_c 31.0075
_cell_angle_alpha 90.00
_cell_angle_beta 90.00
_cell_angle_gamma 120.00
loop_
_atom_site_label
_atom_site_type_symbol
_atom_site_fract_x
_atom_site_fract_y
_atom_site_fract_z
Ho1 Ho 0.0000 0.0000 0.0000
Ho2 Ho 0.0000 0.0000 0.1868
Er1 Er 0.0000 0.0000 0.4270
Al1 Al 0.0000 0.0000 0.5931

=====

Entry 9:
# PBE Ho5ErAl2, optimized geometry
# VASP energy (eV per atom): -4.454
data_Ho5ErAl2
_chemical_formula_sum 'Ho10 Er2 Al4'
_symmetry_space_group_name_H-M 'I m m m'
_symmetry_Int_Tables_number 71
_symmetry_space_group_name_Hall '-I 2 2'
_cell_length_a 3.488
_cell_length_b 10.212
_cell_length_c 12.396
_cell_angle_alpha 90.00
_cell_angle_beta 90.00
_cell_angle_gamma 90.00
loop_
_atom_site_label
_atom_site_type_symbol
_atom_site_fract_x
_atom_site_fract_y
_atom_site_fract_z
Ho1 Ho 0.000 0.000 0.000
Ho2 Ho 0.000 0.273 0.364
Er1 Er 0.000 0.500 0.000
Al1 Al 0.000 0.000 0.260

=====

Entry 10:
# PBE Ho2Er3Al3, optimized geometry
# VASP energy (eV per atom): -4.535
# Distance to the lowest polymorph of the same formula (meV per atom): 22
data_Ho2Er3Al3
_chemical_formula_sum 'Ho2 Er3 Al3'
_symmetry_space_group_name_H-M 'P m m m'
_symmetry_Int_Tables_number 47
_symmetry_space_group_name_Hall '-P 2 2'
_cell_length_a 4.748
_cell_length_b 4.750
_cell_length_c 8.769
_cell_angle_alpha 90.00
_cell_angle_beta 90.00
_cell_angle_gamma 90.00
loop_
_atom_site_label
_atom_site_type_symbol
_atom_site_fract_x
_atom_site_fract_y
_atom_site_fract_z
Ho1 Ho 0.000 0.000 0.228
Er1 Er 0.000 0.500 0.500
Er2 Er 0.500 0.500 0.226
Al1 Al 0.000 0.500 0.000
Al2 Al 0.500 0.000 0.000
Al3 Al 0.500 0.000 0.500

=====

Entry 11:
# PBE Ho2ErAl6, optimized geometry
# VASP energy (eV per atom): -4.252
# Distance to the lowest polymorph of the same formula (meV per atom): 260
data_Ho2ErAl6
_chemical_formula_sum 'Ho4 Er2 Al12'
_symmetry_space_group_name_H-M 'I m m m'
_symmetry_Int_Tables_number 71
_symmetry_space_group_name_Hall '-I 2 2'
_cell_length_a 4.366
_cell_length_b 7.037
_cell_length_c 13.551
_cell_angle_alpha 90.00
_cell_angle_beta 90.00
_cell_angle_gamma 90.00
loop_
_atom_site_label
_atom_site_type_symbol
_atom_site_fract_x
_atom_site_fract_y
_atom_site_fract_z
Ho1 Ho 0.000 0.000 0.123
Er1 Er 0.000 0.500 0.000
Al1 Al 0.000 0.195 0.314
Al2 Al 0.000 0.310 0.500

=====

Entry 12:
# PBE Ho3Er2Al3, optimized geometry
# VASP energy (eV per atom): -4.563
data_Ho3Er2Al3
_chemical_formula_sum 'Ho6 Er4 Al6'
_symmetry_space_group_name_H-M 'I m m m'
_symmetry_Int_Tables_number 71
_symmetry_space_group_name_Hall '-I 2 2'
_cell_length_a 3.641
_cell_length_b 5.126
_cell_length_c 21.412
_cell_angle_alpha 90.00
_cell_angle_beta 90.00
_cell_angle_gamma 90.00
loop_
_atom_site_label
_atom_site_type_symbol
_atom_site_fract_x
_atom_site_fract_y
_atom_site_fract_z
Ho1 Ho 0.000 0.000 0.000
Ho2 Ho 0.000 0.500 0.121
Er1 Er 0.000 0.000 0.231
Al1 Al 0.000 0.000 0.500
Al2 Al 0.000 0.500 0.383

=====

Entry 13:
# PBE Ho2ErAl6, optimized geometry
# VASP energy (eV per atom): -4.512
# Distance to the lowest polymorph of the same formula (meV per atom): 0
data_Ho2ErAl6
_chemical_formula_sum 'Ho2 Er1 Al6'
_symmetry_space_group_name_H-M 'P 6/m m m'
_symmetry_Int_Tables_number 191
_symmetry_space_group_name_Hall '-P 6 2'
_cell_length_a 7.8941
_cell_length_b 7.8941
_cell_length_c 3.4372
_cell_angle_alpha 90.00
_cell_angle_beta 90.00
_cell_angle_gamma 120.00
loop_
_atom_site_label
_atom_site_type_symbol
_atom_site_fract_x
_atom_site_fract_y
_atom_site_fract_z
Ho1 Ho 0.3333 0.6667 0.0000
Er1 Er 0.0000 0.0000 0.0000
Al1 Al 0.0000 0.3331 0.5000

=====

Entry 14:
# PBE Ho7ErAl4, optimized geometry
# VASP energy (eV per atom): -4.344
data_Ho7ErAl4
_chemical_formula_sum 'Ho14 Er2 Al8'
_symmetry_space_group_name_H-M 'C 1 2/m 1'
_symmetry_Int_Tables_number 12
_symmetry_space_group_name_Hall '-C 2y'
_cell_length_a 13.799
_cell_length_b 5.463
_cell_length_c 10.354
_cell_angle_alpha 90.00
_cell_angle_beta 124.55
_cell_angle_gamma 90.00
loop_
_atom_site_label
_atom_site_type_symbol
_atom_site_fract_x
_atom_site_fract_y
_atom_site_fract_z
Ho1 Ho 0.000 0.000 0.000
Ho2 Ho 0.065 0.500 0.389
Ho3 Ho 0.204 0.000 0.647
Ho4 Ho 0.213 0.500 0.878
Er1 Er 0.000 0.500 0.000
Al1 Al 0.055 0.000 0.763
Al2 Al 0.177 0.000 0.333

=====

Entry 15:
# PBE HoEr2Al, optimized geometry
# VASP energy (eV per atom): -4.562
# Distance to the lowest polymorph of the same formula (meV per atom): 0
data_HoEr2Al
_chemical_formula_sum 'Ho4 Er8 Al4'
_symmetry_space_group_name_H-M 'A m m 2'
_symmetry_Int_Tables_number 38
_symmetry_space_group_name_Hall 'A 2 -2'
_cell_length_a 5.277
_cell_length_b 6.770
_cell_length_c 11.715
_cell_angle_alpha 90.00
_cell_angle_beta 90.00
_cell_angle_gamma 90.00
loop_
_atom_site_label
_atom_site_type_symbol
_atom_site_fract_x
_atom_site_fract_y
_atom_site_fract_z
Ho1 Ho 0.000 0.239 0.000
Er1 Er 0.000 0.000 0.761
Er2 Er 0.500 0.000 0.413
Er3 Er 0.500 0.239 0.174
Al1 Al 0.000 0.000 0.254
Al2 Al 0.500 0.000 0.920

=====

Entry 16:
# PBE Ho2ErAl2, optimized geometry
# VASP energy (eV per atom): -4.396
# Distance to the lowest polymorph of the same formula (meV per atom): 165
data_Ho2ErAl2
_chemical_formula_sum 'Ho8 Er4 Al8'
_symmetry_space_group_name_H-M 'C m c 21'
_symmetry_Int_Tables_number 36
_symmetry_space_group_name_Hall 'C 2c -2'
_cell_length_a 4.646
_cell_length_b 11.310
_cell_length_c 10.255
_cell_angle_alpha 90.00
_cell_angle_beta 90.00
_cell_angle_gamma 90.00
loop_
_atom_site_label
_atom_site_type_symbol
_atom_site_fract_x
_atom_site_fract_y
_atom_site_fract_z
Ho1 Ho 0.000 0.115 0.000
Ho2 Ho 0.000 0.307 0.250
Er1 Er 0.000 0.397 0.868
Al1 Al 0.000 0.024 0.735
Al2 Al 0.000 0.201 0.545

=====

Entry 17:
# PBE HoEr12Al3, optimized geometry
# VASP energy (eV per atom): -4.540
data_HoEr12Al3
_chemical_formula_sum 'Ho1 Er12 Al3'
_symmetry_space_group_name_H-M 'P 4/m m m'
_symmetry_Int_Tables_number 123
_symmetry_space_group_name_Hall '-P 4 2'
_cell_length_a 4.752
_cell_length_b 4.752
_cell_length_c 19.328
_cell_angle_alpha 90.00
_cell_angle_beta 90.00
_cell_angle_gamma 90.00
loop_
_atom_site_label
_atom_site_type_symbol
_atom_site_fract_x
_atom_site_fract_y
_atom_site_fract_z
Ho1 Ho 0.000 0.000 0.000
Er1 Er 0.000 0.500 0.134
Er2 Er 0.000 0.500 0.378
Er3 Er 0.500 0.500 0.000
Er4 Er 0.500 0.500 0.257
Er5 Er 0.500 0.500 0.500
Al1 Al 0.000 0.000 0.258
Al2 Al 0.000 0.000 0.500

=====

Entry 18:
# PBE Ho12Er5Al2, optimized geometry
# VASP energy (eV per atom): -4.465
data_Ho12Er5Al2
_chemical_formula_sum 'Ho24 Er10 Al4'
_symmetry_space_group_name_H-M 'C 1 2/m 1'
_symmetry_Int_Tables_number 12
_symmetry_space_group_name_Hall '-C 2y'
_cell_length_a 14.992
_cell_length_b 9.238
_cell_length_c 8.178
_cell_angle_alpha 90.00
_cell_angle_beta 92.39
_cell_angle_gamma 90.00
loop_
_atom_site_label
_atom_site_type_symbol
_atom_site_fract_x
_atom_site_fract_y
_atom_site_fract_z
Ho1 Ho 0.053 0.000 0.321
Ho2 Ho 0.079 0.500 0.879
Ho3 Ho 0.126 0.196 0.671
Ho4 Ho 0.144 0.314 0.228
Er1 Er 0.000 0.500 0.500
Er2 Er 0.189 0.000 0.013
Er3 Er 0.233 0.500 0.574
Al1 Al 0.000 0.171 0.000

=====

Entry 19:
# PBE HoEr3Al2, optimized geometry
# VASP energy (eV per atom): -4.489
# Distance to the lowest polymorph of the same formula (meV per atom): 100
data_HoEr3Al2
_chemical_formula_sum 'Ho1 Er3 Al2'
_symmetry_space_group_name_H-M 'P 1 2/m 1'
_symmetry_Int_Tables_number 10
_symmetry_space_group_name_Hall '-P 2y'
_cell_length_a 4.758
_cell_length_b 4.373
_cell_length_c 7.698
_cell_angle_alpha 90.00
_cell_angle_beta 107.89
_cell_angle_gamma 90.00
loop_
_atom_site_label
_atom_site_type_symbol
_atom_site_fract_x
_atom_site_fract_y
_atom_site_fract_z
Ho1 Ho 0.000 0.000 0.000
Er1 Er 0.174 0.500 0.348
Er2 Er 0.500 0.500 0.000
Al1 Al 0.342 0.000 0.684

=====

Entry 20:
# PBE HoEr2Al2, optimized geometry
# VASP energy (eV per atom): -4.373
# Distance to the lowest polymorph of the same formula (meV per atom): 183
data_HoEr2Al2
_chemical_formula_sum 'Ho2 Er4 Al4'
_symmetry_space_group_name_H-M 'P 1 21/m 1'
_symmetry_Int_Tables_number 11
_symmetry_space_group_name_Hall '-P 2yb'
_cell_length_a 5.552
_cell_length_b 3.554
_cell_length_c 13.323
_cell_angle_alpha 90.00
_cell_angle_beta 95.93
_cell_angle_gamma 90.00
loop_
_atom_site_label
_atom_site_type_symbol
_atom_site_fract_x
_atom_site_fract_y
_atom_site_fract_z
Ho1 Ho 0.183 0.250 0.236
Er1 Er 0.241 0.750 0.462
Er2 Er 0.346 0.250 0.887
Al1 Al 0.152 0.750 0.044
Al2 Al 0.291 0.250 0.659

=====

| no. | total moment (μB/atom) |
| --- | --- |
| 1 | 0.000 |
| 2 | 0.000 |
| 3 | 0.000 |
| 4 | 0.000 |
| 5 | 0.000 |
| 6 | 0.000 |
| 7 | 0.000 |
| 8 | 0.173 |
| 9 | 0.000 |
| 10 | 0.000 |
| 11 | 0.000 |
| 12 | 0.000 |
| 13 | 0.000 |
| 14 | 0.003 |
| 15 | 0.000 |
| 16 | 0.000 |
| 17 | 0.000 |
| 18 | 0.000 |
| 19 | 0.000 |
| 20 | 0.000 |